Entry from the Alexandria database: Ba2VF6 after structural relaxation (PBE with a Hubbard U).

Output
The calculation puts the density of states at the Fermi level at 0.00 states/eV/cell. For the theoretical density, the calculation gives 4.0 g cm⁻³. As for the energy above the most stable polymorph in this dataset: 0.059 eV/atom.

Lattice parameters (Å, degrees): 5.614 5.614 11.564 90.00 90.00 90.00
Positions (direct):
1 Ba 0.000 0.000 0.165
2 Ba 0.000 0.000 0.835
3 Ba 0.500 0.500 0.335
4 Ba 0.500 0.500 0.665
5 V 0.000 0.000 0.500
6 V 0.500 0.500 0.000
7 F 0.176 0.176 0.357
8 F 0.176 0.176 0.643
9 F 0.229 0.229 0.000
10 F 0.271 0.729 0.500
11 F 0.324 0.676 0.143
12 F 0.324 0.676 0.857
13 F 0.676 0.324 0.143
14 F 0.676 0.324 0.857
15 F 0.729 0.271 0.500
16 F 0.771 0.771 0.000
17 F 0.824 0.824 0.357
18 F 0.824 0.824 0.643